Here is Li4CaHg after structural relaxation from Alexandria via LeMat-Bulk. Energies are from GGA-PBE.

abc: 5.5940 5.5940 5.5940
angles: 60.00 60.00 60.00
Atoms (fractional coordinates):
Ca (0.2500, 0.2500, 0.2500)
Hg (0.0000, 0.0000, 0.0000)
Li (0.1183, 0.6272, 0.6272)
Li (0.6272, 0.6272, 0.6272)
Li (0.6272, 0.1183, 0.6272)
Li (0.6272, 0.6272, 0.1183)

Here is MnCoB3 after structural relaxation from Alexandria via LeMat-Bulk. Energies are from GGA-PBE.

abc: 3.7250 3.7250 3.7250
angles: 90.00 90.00 90.00
Each line ends with the local moment (μB).
Atoms (fractional coordinates):
B (0.0000, 0.5000, 0.0000)  0.05
B (0.0000, 0.0000, 0.5000)  0.07
B (0.5000, 0.0000, 0.0000)  0.00
Mn (0.0000, 0.0000, 0.0000)  0.47
Co (0.5000, 0.5000, 0.5000)  2.05

Number 1: density 3.6 g/cm³, E_form -0.13 eV per atom. Number 2: density 4.7 g/cm³, E_form 1.00 eV per atom.